Compound: Sm2RuF
Source: the Alexandria database
Functional: PBE
Structure: optimized geometry

a = 3.6044 Å, b = 3.6044 Å, c = 7.8966 Å
α = 76.81°, β = 76.81°, γ = 60.00°
Closest atoms and distances in Å follow each position.
Fractional positions:
Sm: 0.0845 0.0845 0.7465  3 F 2.72, 3 Ru 2.81
Sm: 0.2525 0.2525 0.2425  3 Ru 2.81, 3 F 2.95
Ru: 0.6684 0.6684 0.9947  6 Sm 2.81
F: 0.4946 0.4946 0.5162  6 Sm 2.72-2.95

Values from the calculation:
- Theoretical density: 8.15 g cm⁻³
- V: 85.70 Å³ per cell
- Energy above the most stable polymorph in this dataset: 45 meV/atom
- Energy relative to the elements, uncorrected: -1.18 eV/atom
- Crystal system: trigonal
- SG: R3m